DFT (PBE) results for CuTcHg2 after structural relaxation.

Geometry as POSCAR:
```
CuTcHg2
1.0
-4.5680 2.1068 -7.8724
-3.4675 -0.5214 -8.6593
-6.0036 -0.3736 -7.1481
Cu Hg Tc
1 2 1
direct
0.7500 0.7500 0.7500 Cu
0.0026 0.0026 0.0026 Hg
0.4974 0.4974 0.4974 Hg
0.2500 0.2500 0.2500 Tc
```

Calculated values
**E_tot**: -13.07 eV for the cell shown
**Calculated volume**: 17.4 A^3/atom
**Calculated density**: 13.4 Mg/m³
**Calculated formation energy**: 0.50 eV per atom
**Total magnetic moment**: 0.0 Bohr magnetons per cell
**E above lowest polymorph**: 29.6 meV per atom

DFT (PBE) results for CuTcHg2 after structural relaxation.

Geometry as POSCAR:
```
CuTcHg2
1.0
0.0000 3.2870 3.2870
3.2870 0.0000 3.2870
3.2870 3.2870 0.0000
Hg Cu Tc
2 1 1
direct
0.2500 0.2500 0.2500 Hg
0.7500 0.7500 0.7500 Hg
0.0000 0.0000 0.0000 Cu
0.5000 0.5000 0.5000 Tc
```

Calculated values
**E_tot**: -12.59 eV for the cell shown
**Calculated volume**: 17.8 A^3/atom
**Calculated density**: 13.2 Mg/m³
**Calculated formation energy**: 0.62 eV per atom
**Total magnetic moment**: 1.9 Bohr magnetons per cell
**E above lowest polymorph**: 150.0 meV per atom

DFT (PBE) results for CuTcHg2 after structural relaxation.

Geometry as POSCAR:
```
CuTcHg2
1.0
2.9585 0.0000 0.0000
0.0000 2.9585 0.0000
0.0000 0.0000 8.1555
Cu Hg Tc
1 2 1
direct
0.5000 0.5000 0.7277 Cu
0.0000 0.0000 0.9611 Hg
0.5000 0.5000 0.2784 Hg
0.0000 0.0000 0.5328 Tc
```

Calculated values
**E_tot**: -13.19 eV for the cell shown
**Calculated volume**: 17.8 A^3/atom
**Calculated density**: 13.1 Mg/m³
**Calculated formation energy**: 0.47 eV per atom
**Total magnetic moment**: 1.3 Bohr magnetons per cell
**E above lowest polymorph**: 0.0 meV per atom

DFT (PBE) results for Cu2TcHg after structural relaxation.

Geometry as POSCAR:
```
Cu2TcHg
1.0
-1.4280 -2.2997 3.5160
0.6615 -4.3831 0.2018
2.9203 -1.6722 2.8924
Cu Hg Tc
2 1 1
direct
0.0000 0.0000 0.0000 Cu
0.2500 0.2500 0.2500 Cu
0.5000 0.5000 0.5000 Hg
0.7500 0.7500 0.7500 Tc
```

Calculated values
**E_tot**: -16.66 eV for the cell shown
**Calculated volume**: 15.4 A^3/atom
**Calculated density**: 11.4 Mg/m³
**Calculated formation energy**: 0.55 eV per atom
**Total magnetic moment**: 2.1 Bohr magnetons per cell

Among the records above, which one has the lowest calculated volume?
Cu2TcHg

What is the calculated density in the first record?
13.4 Mg/m³